(1)
Density functional theory data (PBE) for a relaxed Ba2AuBr crystal.

polymorph energy (0 for the lowest one): 727.3 meV per atom
total energy: -2.670 eV per atom
total moment: 0.0 μB per formula unit
energy relative to the elements, uncorrected: -0.471 eV/atom

Cell: 5.729 5.729 5.729 Å, 60.00 60.00 60.00°
Atoms (fractional coordinates):
Ba 0.000 0.000 0.000
Ba 0.250 0.250 0.250
Au 0.500 0.500 0.500
Br 0.750 0.750 0.750

=====

(2)
Density functional theory data (PBE) for a relaxed BaAuBr2 crystal.

polymorph energy (0 for the lowest one): 76.0 meV per atom
total energy: -3.234 eV per atom
total moment: 0.0 μB per formula unit
energy relative to the elements, uncorrected: -1.097 eV/atom

Cell: 7.791 7.791 7.791 Å, 147.28 147.02 47.14°
Atoms (fractional coordinates):
Ba 0.000 0.000 0.000
Au 0.829 0.329 0.500
Br 0.328 0.828 0.500
Br 0.582 0.582 0.000

=====

(3)
Density functional theory data (PBE) for a relaxed Ba2AuBr crystal.

polymorph energy (0 for the lowest one): 252.2 meV per atom
total energy: -3.145 eV per atom
total moment: 0.0 μB per formula unit
energy relative to the elements, uncorrected: -0.946 eV/atom

Cell: 7.823 7.823 7.823 Å, 145.29 145.29 49.91°
Atoms (fractional coordinates):
Ba 0.000 0.000 0.000
Ba 0.750 0.250 0.500
Au 0.500 0.500 0.000
Br 0.250 0.750 0.500

=====

(4)
Density functional theory data (PBE) for a relaxed Ba6Au3Br crystal.

total energy: -3.053 eV per atom
total moment: 0.0 μB per formula unit
energy relative to the elements, uncorrected: -0.749 eV/atom

Cell: 14.144 4.790 14.225 Å, 90.00 110.67 90.00°
Atoms (fractional coordinates):
Ba 0.041 0.250 0.388
Ba 0.094 0.250 0.937
Ba 0.230 0.750 0.245
Ba 0.274 0.250 0.716
Ba 0.403 0.750 0.543
Ba 0.434 0.250 0.129
Ba 0.566 0.750 0.871
Ba 0.597 0.250 0.457
Ba 0.726 0.750 0.284
Ba 0.770 0.250 0.755
Ba 0.906 0.750 0.063
Ba 0.959 0.750 0.612
Au 0.067 0.250 0.161
Au 0.171 0.750 0.548
Au 0.486 0.750 0.302
Au 0.514 0.250 0.698
Au 0.829 0.250 0.452
Au 0.933 0.750 0.839
Br 0.357 0.750 0.931
Br 0.643 0.250 0.069

=====

(5)
Density functional theory data (PBE) for a relaxed BaAu2Br crystal.

polymorph energy (0 for the lowest one): 175.7 meV per atom
total energy: -3.273 eV per atom
total moment: 0.0 μB per formula unit
energy relative to the elements, uncorrected: -0.735 eV/atom

Cell: 6.693 6.693 4.453 Å, 109.28 109.28 37.66°
Atoms (fractional coordinates):
Ba 0.000 0.000 0.000
Au 0.250 0.250 0.750
Au 0.750 0.750 0.250
Br 0.500 0.500 0.500

=====

(6)
Density functional theory data (PBE) for a relaxed Ba2AuBr crystal.

polymorph energy (0 for the lowest one): 0.0 meV per atom
total energy: -3.397 eV per atom
total moment: 0.0 μB per formula unit
energy relative to the elements, uncorrected: -1.198 eV/atom

Cell: 8.897 8.897 8.897 Å, 30.55 30.55 30.55°
Atoms (fractional coordinates):
Ba 0.240 0.240 0.240
Ba 0.760 0.760 0.760
Au 0.500 0.500 0.500
Br 0.000 0.000 0.000

=====

(7)
Density functional theory data (PBE) for a relaxed Ba4AuBr2 crystal.

total energy: -2.874 eV per atom
total moment: 0.0 μB per formula unit
energy relative to the elements, uncorrected: -0.829 eV/atom

Cell: 11.391 11.391 11.391 Å, 148.43 148.43 45.25°
Atoms (fractional coordinates):
Ba 0.000 0.500 0.500
Ba 0.164 0.164 0.000
Ba 0.500 0.000 0.500
Ba 0.836 0.836 0.000
Au 0.000 0.000 0.000
Br 0.316 0.316 0.000
Br 0.684 0.684 0.000

=====

(8)
Density functional theory data (PBE) for a relaxed Ba2AuBr crystal.

polymorph energy (0 for the lowest one): 15.3 meV per atom
total energy: -3.382 eV per atom
total moment: 0.0 μB per formula unit
energy relative to the elements, uncorrected: -1.183 eV/atom

Cell: 9.010 9.010 9.010 Å, 30.08 30.08 30.08°
Atoms (fractional coordinates):
Ba 0.000 0.000 0.000
Ba 0.189 0.189 0.189
Au 0.594 0.594 0.594
Br 0.764 0.764 0.764